1.
## KZrCuRh2 (PBE-GGA)

Data for KZrCuRh2 after structural relaxation.

Cell lengths 4.815, 4.815, 4.693 Å; angles 90.00, 90.00, 90.00 degrees
Element x y z (fractional)
K 0.000 0.000 0.000
Zr 0.500 0.500 0.000
Cu 0.500 0.500 0.500
Rh 0.000 0.500 0.500
Rh 0.500 0.000 0.500

Output
**SG**: P4/mmm, No. 123
**Energy relative to the elements**: 796 meV per atom
**M_tot**: 0.0 μB per cell

2.
## KCuRu2 (PBE-GGA)

Data for KCuRu2 after structural relaxation.

Cell lengths 9.719, 9.719, 9.719 Å; angles 152.28, 152.28, 39.60 degrees
Element x y z (fractional)
K 0.000 0.000 0.000
K 0.750 0.250 0.500
Cu 0.250 0.750 0.500
Cu 0.500 0.500 0.000
Ru 0.366 0.625 0.241
Ru 0.375 0.616 0.741
Ru 0.384 0.125 0.759
Ru 0.875 0.634 0.259

Output
**SG**: I-42d, No. 122
**ΔE to the lowest computed polymorph**: 674 meV per atom
**Energy relative to the elements**: 1234 meV per atom
**M_tot**: 3.1 μB per cell

3.
## KCu2Ru (PBE-GGA)

Data for KCu2Ru after structural relaxation.

Cell lengths 2.622, 3.550, 7.874 Å; angles 90.00, 90.00, 90.00 degrees
Element x y z (fractional)
K 0.000 0.000 0.000
Cu 0.000 0.000 0.514
Cu 0.500 0.500 0.668
Ru 0.500 0.500 0.334

Output
**SG**: Pmm2, No. 25
**ΔE to the lowest computed polymorph**: 139 meV per atom
**Energy relative to the elements**: 673 meV per atom
**M_tot**: 0.0 μB per cell

4.
## KCuRu2 (PBE-GGA)

Data for KCuRu2 after structural relaxation.

Cell lengths 3.761, 3.761, 4.902 Å; angles 90.00, 90.00, 90.00 degrees
Element x y z (fractional)
K 0.000 0.000 0.000
Cu 0.500 0.500 0.000
Ru 0.000 0.500 0.500
Ru 0.500 0.000 0.500

Output
**SG**: P4/mmm, No. 123
**ΔE to the lowest computed polymorph**: 742 meV per atom
**Energy relative to the elements**: 1302 meV per atom
**M_tot**: 0.4 μB per cell

5.
## KCu2Ru (PBE-GGA)

Data for KCu2Ru after structural relaxation.

Cell lengths 4.555, 4.555, 6.730 Å; angles 94.50, 94.50, 33.76 degrees
Element x y z (fractional)
K 0.000 0.000 0.000
Cu 0.236 0.236 0.653
Cu 0.764 0.764 0.347
Ru 0.500 0.500 0.500

Output
**SG**: C2/m, No. 12
**ΔE to the lowest computed polymorph**: 77 meV per atom
**Energy relative to the elements**: 611 meV per atom
**M_tot**: 0.2 μB per cell

6.
## KCu2Ru (PBE-GGA)

Data for KCu2Ru after structural relaxation.

Cell lengths 10.027, 10.027, 10.027 Å; angles 15.95, 15.95, 15.95 degrees
Element x y z (fractional)
K 0.000 0.000 0.000
Cu 0.237 0.237 0.237
Cu 0.763 0.763 0.763
Ru 0.500 0.500 0.500

Output
**SG**: R-3m, No. 166
**ΔE to the lowest computed polymorph**: 198 meV per atom
**Energy relative to the elements**: 732 meV per atom
**M_tot**: 0.0 μB per cell

7.
## KCu2Ru (PBE-GGA)

Data for KCu2Ru after structural relaxation.

Cell lengths 6.168, 6.168, 6.168 Å; angles 155.73, 126.07, 59.97 degrees
Element x y z (fractional)
K 0.000 0.000 0.000
Cu 0.294 0.794 0.500
Cu 0.706 0.206 0.500
Ru 0.500 0.500 0.000

Output
**SG**: Immm, No. 71
**ΔE to the lowest computed polymorph**: 347 meV per atom
**Energy relative to the elements**: 882 meV per atom
**M_tot**: 0.2 μB per cell

8.
## KCu2Ru (PBE-GGA)

Data for KCu2Ru after structural relaxation.

Cell lengths 3.170, 3.170, 7.505 Å; angles 90.00, 90.00, 90.00 degrees
Element x y z (fractional)
K 0.000 0.000 0.000
Cu 0.500 0.500 0.333
Cu 0.500 0.500 0.667
Ru 0.000 0.000 0.500

Output
**SG**: P4/mmm, No. 123
**ΔE to the lowest computed polymorph**: 30 meV per atom
**Energy relative to the elements**: 565 meV per atom
**M_tot**: 1.1 μB per cell

Q: Which formula does entry 1 have?
A: KZrCuRh2